# PBE with a Hubbard U CsCd2NiF8, relaxed
data_CsCd2NiF8
_space_group_name_H-M_alt 'P -1'
_space_group_IT_number 2
_cell_length_a 5.085
_cell_length_b 5.549
_cell_length_c 7.198
_cell_angle_alpha 104.67
_cell_angle_beta 90.91
_cell_angle_gamma 101.67
loop_
_space_group_symop_operation_xyz
'x,y,z'
'-x,-y,-z'
loop_
_atom_site_label
_atom_site_fract_x
_atom_site_fract_y
_atom_site_fract_z
Cs1 0.000 0.000 0.000
Cd1 0.477 0.592 0.268
Ni1 0.000 0.000 0.500
F1 0.084 0.745 0.305
F2 0.271 0.299 0.431
F3 0.284 0.988 0.650
F4 0.409 0.690 0.972
# Raw total energy in eV/atom: -3.774
# Total magnetic moment in μB per atom: 0.08